VASP calculation (meta-GGA SCAN) on a PBEsol-optimized structure of TeSeN3.

The calculation puts the formation energy from raw total energies at 1842 meV per atom. Its size of the total moment is 0.000 μB per atom. The calculation puts the final energy at -0.559 Ha/atom.

a b c (Å): 3.841 3.841 3.841
angles (deg): 90.00 90.00 90.00
Space group Pm-3m (No. 221)
Symmetry-distinct sites (fractional):
Te1 0.000 0.000 0.000 (multiplicity 1)
Se1 0.500 0.500 0.500 (multiplicity 1)
N1 0.000 0.500 0.500 (multiplicity 3)